Record 1
# HgPt2Se, optimized geometry, DFT PBE-GGA
data_HgPt2Se
_chemical_formula_sum 'Hg2 Pt4 Se2'
_symmetry_space_group_name_H-M 'I m m 2'
_symmetry_Int_Tables_number 44
_cell_length_a 3.295
_cell_length_b 4.474
_cell_length_c 10.370
_cell_angle_alpha 90.00
_cell_angle_beta 90.00
_cell_angle_gamma 90.00
loop_
_symmetry_equiv_pos_as_xyz
'x,y,z'
'-x,-y,z'
'-x,y,z'
'x,-y,z'
'x+1/2,y+1/2,z+1/2'
'-x+1/2,-y+1/2,z+1/2'
'-x+1/2,y+1/2,z+1/2'
'x+1/2,-y+1/2,z+1/2'
loop_
_atom_site_label
_atom_site_type_symbol
_atom_site_fract_x
_atom_site_fract_y
_atom_site_fract_z
Hg1 Hg 0.000 0.000 0.000
Pt1 Pt 0.000 0.000 0.551
Pt2 Pt 0.000 0.500 0.829
Se1 Se 0.000 0.500 0.234
# Crystal system: orthorhombic
# Formation energy without anion corrections in eV/atom: 0.1214

=====

Record 2
# Y2CrCd, optimized geometry, DFT PBE-GGA
data_Y2CrCd
_chemical_formula_sum 'Y6 Cr3 Cd3'
_symmetry_space_group_name_H-M 'R 3 m'
_symmetry_Int_Tables_number 160
_symmetry_space_group_name_Hall 'R 3 -2"'
_cell_length_a 3.4880
_cell_length_b 3.4880
_cell_length_c 30.0776
_cell_angle_alpha 90.00
_cell_angle_beta 90.00
_cell_angle_gamma 120.00
loop_
_atom_site_label
_atom_site_type_symbol
_atom_site_fract_x
_atom_site_fract_y
_atom_site_fract_z
Y1 Y 0.0000 0.0000 0.0000
Y2 Y 0.0000 0.0000 0.2352
Cr1 Cr 0.0000 0.0000 0.7470
Cd1 Cd 0.0000 0.0000 0.4830
# Crystal system: trigonal
# Formation energy from the elements in kJ per mole of atoms: 32.5

=====

Record 3
# KBaB2, optimized geometry, DFT PBE-GGA
data_KBaB2
_chemical_formula_sum 'K4 Ba4 B8'
_symmetry_space_group_name_H-M 'I -4 2 d'
_symmetry_Int_Tables_number 122
_symmetry_space_group_name_Hall 'I -4 2bw'
_cell_length_a 8.149
_cell_length_b 8.149
_cell_length_c 7.127
_cell_angle_alpha 90.00
_cell_angle_beta 90.00
_cell_angle_gamma 90.00
loop_
_atom_site_label
_atom_site_type_symbol
_atom_site_fract_x
_atom_site_fract_y
_atom_site_fract_z
K1 K 0.000 0.000 0.000
Ba1 Ba 0.000 0.000 0.500
B1 B 0.233 0.250 0.625
# Crystal system: tetragonal
# Formation energy from the elements in kJ per mole of atoms: 165.7
# Distance to the lowest polymorph of the same formula in kJ/mol of formula units: 113

=====

Record 4
# Rb3Li2ScI8, optimized geometry, DFT PBE-GGA
data_Rb3Li2ScI8
_chemical_formula_sum 'Rb3 Li2 Sc1 I8'
_symmetry_space_group_name_H-M 'P -3 m 1'
_symmetry_Int_Tables_number 164
_symmetry_space_group_name_Hall '-P 3 2"'
_cell_length_a 8.2969
_cell_length_b 8.2969
_cell_length_c 10.4755
_cell_angle_alpha 90.00
_cell_angle_beta 90.00
_cell_angle_gamma 120.00
loop_
_atom_site_label
_atom_site_type_symbol
_atom_site_fract_x
_atom_site_fract_y
_atom_site_fract_z
Rb1 Rb 0.0000 0.0000 0.0000
Rb2 Rb 0.3333 0.6667 0.6230
Li1 Li 0.3333 0.6667 0.2010
Sc1 Sc 0.0000 0.0000 0.5000
I1 I 0.1615 0.3229 0.3345
I2 I 0.3333 0.6667 0.9548
# Crystal system: trigonal
# Formation energy without anion corrections in eV/atom: -1.2779

=====

Record 5
# Nd8HIr3Br3, optimized geometry, DFT PBE-GGA
data_Nd8HIr3Br3
_chemical_formula_sum 'Nd24 H3 Ir9 Br9'
_symmetry_space_group_name_H-M 'R -3 m'
_symmetry_Int_Tables_number 166
_symmetry_space_group_name_Hall '-R 3 2"'
_cell_length_a 8.2645
_cell_length_b 8.2645
_cell_length_c 22.6144
_cell_angle_alpha 90.00
_cell_angle_beta 90.00
_cell_angle_gamma 120.00
loop_
_atom_site_label
_atom_site_type_symbol
_atom_site_fract_x
_atom_site_fract_y
_atom_site_fract_z
Nd1 Nd 0.0000 0.0000 0.2337
Nd2 Nd 0.0036 0.5018 0.7663
H1 H 0.0000 0.0000 0.5000
Ir1 Ir 0.0000 0.5000 0.5000
Br1 Br 0.0000 0.5000 0.0000
# VASP energy in eV/atom: -5.72
# Crystal system: trigonal

=====

Record 6
# PmEr5Tl6, optimized geometry, DFT PBE-GGA
data_PmEr5Tl6
_chemical_formula_sum 'Pm2 Er10 Tl12'
_symmetry_space_group_name_H-M 'C 1 2/m 1'
_symmetry_Int_Tables_number 12
_cell_length_a 9.239
_cell_length_b 16.113
_cell_length_c 5.359
_cell_angle_alpha 90.00
_cell_angle_beta 125.27
_cell_angle_gamma 90.00
loop_
_symmetry_equiv_pos_as_xyz
'x,y,z'
'-x,-y,-z'
'-x,y,-z'
'x,-y,z'
'x+1/2,y+1/2,z'
'-x+1/2,-y+1/2,-z'
'-x+1/2,y+1/2,-z'
'x+1/2,-y+1/2,z'
loop_
_atom_site_label
_atom_site_type_symbol
_atom_site_fract_x
_atom_site_fract_y
_atom_site_fract_z
Pm1 Pm 0.000 0.000 0.000
Er1 Er 0.000 0.164 0.500
Er2 Er 0.000 0.333 0.000
Er3 Er 0.000 0.500 0.500
Tl1 Tl 0.242 0.500 0.242
Tl2 Tl 0.246 0.331 0.746
# Crystal system: monoclinic
# Formation energy from the elements in kJ per mole of atoms: -31.0
# Distance to the lowest polymorph of the same formula in kJ/mol of formula units: 0